one | Computed, not measured: a relaxed Er5Ag2 crystal at the PBE level of DFT.

The space group is C2/c (No. 15) and the conventional cell measures 15.7339, 7.1232 and 6.7493 Å, with angles of 90.00, 90.19 and 90.00 degrees. Symmetry generates all atoms from Er at (0.0000, 0.0006, 0.2500), Er at (0.0945, 0.3555, 0.5005), Er at (0.2249, 0.0060, 0.7535) and Ag at (0.1135, 0.2501, 0.0031).

As for the volume: 756.4 Å³/cell.


two | Computed, not measured: a relaxed Er5Ag2 crystal at the PBE level of DFT.

The space group is Ibam (No. 72) and the conventional cell measures 7.2547, 15.2946 and 6.7959 Å, with angles of 90.00, 90.00 and 90.00 degrees. Symmetry generates all atoms from Er at (0.0000, 0.0000, 0.2500), Er at (0.0000, 0.2259, 0.2500), Er at (0.1459, 0.4106, 0.0000) and Ag at (0.2434, 0.3805, 0.5000).

As for the volume: 754.1 Å³/cell.


Stability comparison, relative energies in meV per atom: one 0; two 21